This record from Alexandria describes a geometry-optimized BeNb3Pd structure. The functional is PBE-GGA.

Values from the calculation:
* energy relative to the elements: 0.47 eV per atom
* density of states at the Fermi level: 5.6 states/eV/f.u.

Lattice parameters (Å, degrees): 4.396 4.396 4.396 90.00 90.00 90.00
Sites, in units of the cell vectors:
Be  0.000  0.000  0.000
Nb  0.000  0.000  0.500
Nb  0.000  0.500  0.000
Nb  0.500  0.000  0.000
Pd  0.500  0.500  0.500